Density functional theory data (GGA-PBE) for crystalline KLa2F6 at its relaxed geometry.

Cell: 9.739 9.739 9.739 Å, 155.50 155.50 34.92°
Sites, in units of the cell vectors:
K  0.000  0.000  0.000
La  0.334  0.334  0.000
La  0.666  0.666  0.000
F  0.096  0.596  0.500
F  0.250  0.750  0.500
F  0.404  0.904  0.500
F  0.596  0.096  0.500
F  0.750  0.250  0.500
F  0.904  0.404  0.500

Summary:
Its space-group type is I4/mmm (139). The calculation puts the formation energy without anion corrections at -32.799 eV per formula unit. As for the density of states at the Fermi level: 3.3 states/eV per cell.